a | CdIrCl2 | GGA-PBE | optimized geometry

Lattice parameters (Å, degrees): 3.1521 3.1521 9.1463 90.00 90.00 90.00
Closest atoms and distances in Å follow each position.
Fractional positions:
1 Cl 0.0000 0.0000 0.0746  4 Ir 2.75
2 Cl 0.0000 0.0000 0.4254  4 Ir 2.75
3 Ir 0.5000 0.5000 0.2500  8 Cl 2.75
4 Cd 0.5000 0.5000 0.7500  4 Cd 3.15

Summary:
- N(E_F) (states/eV per atom) = 0.690
- calculated density (g/cm³) = 6.9

=====

b | CdIrCl2 | GGA-PBE | optimized geometry

Lattice parameters (Å, degrees): 4.8631 4.8631 3.2717 90.00 90.00 103.46
Closest atoms and distances in Å follow each position.
Fractional positions:
1 Cl 0.0000 0.0000 0.0000  4 Cd 2.93, 4 Ir 2.93, 4 Cl 3.01-3.27
2 Cl 0.5000 0.5000 0.0000  4 Ir 2.93, 4 Cd 2.93, 4 Cl 3.01-3.27
3 Ir 0.5000 0.0000 0.5000  8 Cl 2.93, 2 Cd 3.01, 2 Ir 3.27
4 Cd 0.0000 0.5000 0.5000  8 Cl 2.93, 2 Ir 3.01, 2 Cd 3.27

Summary:
- N(E_F) (states/eV per atom) = 0.870
- calculated density (g/cm³) = 8.3

=====

Quick one: least stable of them? b

=====

a | CdIr3Cl | GGA-PBE | optimized geometry

Lattice parameters (Å, degrees): 5.0003 5.0003 5.0003 90.00 90.00 90.00
Closest atoms and distances in Å follow each position.
Fractional positions:
1 Cl 0.5000 0.5000 0.5000  12 Ir 3.54
2 Ir 0.0000 0.5000 0.0000  2 Cd 2.50
3 Ir 0.0000 0.0000 0.5000  2 Cd 2.50
4 Ir 0.5000 0.0000 0.0000  2 Cd 2.50
5 Cd 0.0000 0.0000 0.0000  6 Ir 2.50

Summary:
- N(E_F) (states/eV per atom) = 1.652
- calculated density (g/cm³) = 9.6

=====

b | CdIr3Cl | GGA-PBE | optimized geometry

Lattice parameters (Å, degrees): 4.4656 4.4656 4.4656 90.00 90.00 90.00
Closest atoms and distances in Å follow each position.
Fractional positions:
1 Cl 0.0000 0.0000 0.0000  6 Ir 2.23
2 Ir 0.0000 0.5000 0.0000  2 Cl 2.23
3 Ir 0.0000 0.0000 0.5000  2 Cl 2.23
4 Ir 0.5000 0.0000 0.0000  2 Cl 2.23
5 Cd 0.5000 0.5000 0.5000  12 Ir 3.16

Summary:
- N(E_F) (states/eV per atom) = 0.946
- calculated density (g/cm³) = 13.5

=====

Quick one: least stable of them? a

=====

a | Cd3IrCl | GGA-PBE | optimized geometry

Lattice parameters (Å, degrees): 4.9922 4.9922 4.9922 90.00 90.00 90.00
Closest atoms and distances in Å follow each position.
Fractional positions:
1 Cl 0.0000 0.0000 0.0000  6 Cd 2.50
2 Ir 0.5000 0.5000 0.5000  12 Cd 3.53
3 Cd 0.0000 0.5000 0.0000  2 Cl 2.50
4 Cd 0.0000 0.0000 0.5000  2 Cl 2.50
5 Cd 0.5000 0.0000 0.0000  2 Cl 2.50

Summary:
- N(E_F) (states/eV per atom) = 0.605
- calculated density (g/cm³) = 7.5

=====

b | Cd3IrCl | GGA-PBE | optimized geometry

Lattice parameters (Å, degrees): 5.2272 5.2272 5.2272 90.00 90.00 90.00
Closest atoms and distances in Å follow each position.
Fractional positions:
1 Cl 0.5000 0.5000 0.5000  12 Cd 3.70
2 Ir 0.0000 0.0000 0.0000  6 Cd 2.61
3 Cd 0.0000 0.5000 0.0000  2 Ir 2.61
4 Cd 0.0000 0.0000 0.5000  2 Ir 2.61
5 Cd 0.5000 0.0000 0.0000  2 Ir 2.61

Summary:
- N(E_F) (states/eV per atom) = 0.488
- calculated density (g/cm³) = 6.6

=====

Quick one: least stable of them? a

=====

a | Cd2IrCl2 | GGA-PBE | optimized geometry

Lattice parameters (Å, degrees): 8.0710 8.0710 3.2570 90.00 90.00 90.00
Closest atoms and distances in Å follow each position.
Fractional positions:
1 Cl 0.1273 0.6273 0.5000  6 Cd 2.71-3.02, 1 Cl 2.91
2 Cl 0.6273 0.8727 0.5000  6 Cd 2.71-3.02, 1 Cl 2.91
3 Cl 0.8727 0.3727 0.5000  6 Cd 2.71-3.02, 1 Cl 2.91
4 Cl 0.3727 0.1273 0.5000  6 Cd 2.71-3.02, 1 Cl 2.91
5 Ir 0.0000 0.0000 0.0000  4 Cd 2.95, 2 Ir 3.26
6 Ir 0.5000 0.5000 0.0000  4 Cd 2.95, 2 Ir 3.26
7 Cd 0.3171 0.8171 0.0000  6 Cl 2.71-3.02, 2 Ir 2.95
8 Cd 0.8171 0.6829 0.0000  6 Cl 2.71-3.02, 2 Ir 2.95
9 Cd 0.6829 0.1829 0.0000  6 Cl 2.71-3.02, 2 Ir 2.95
10 Cd 0.1829 0.3171 0.0000  6 Cl 2.71-3.02, 2 Ir 2.95

Summary:
- N(E_F) (states/eV per atom) = 0.518
- calculated density (g/cm³) = 7.6

=====

b | Cd2IrCl2 | GGA-PBE | optimized geometry

Lattice parameters (Å, degrees): 4.2364 4.2364 6.9269 72.19 72.19 90.00
Closest atoms and distances in Å follow each position.
Fractional positions:
1 Cl 0.7500 0.2500 0.5000  4 Cd 2.75, 4 Cl 3.00
2 Cl 0.2500 0.7500 0.5000  4 Cd 2.75, 4 Cl 3.00
3 Ir 0.0000 0.0000 0.0000  8 Cd 3.29
4 Cd 0.3902 0.3902 0.2196  1 Cd 2.74, 4 Cl 2.75
5 Cd 0.6098 0.6098 0.7804  1 Cd 2.74, 4 Cl 2.75

Summary:
- N(E_F) (states/eV per atom) = 0.247
- calculated density (g/cm³) = 7.2

=====

Quick one: least stable of them? b

=====

a | CdPIrCl2 | GGA-PBE | optimized geometry

Lattice parameters (Å, degrees): 5.0465 5.0465 4.4899 90.00 90.00 90.00
Closest atoms and distances in Å follow each position.
Fractional positions:
1 Cl 0.0000 0.5000 0.0000  2 Ir 2.52
2 Cl 0.5000 0.0000 0.0000  2 Ir 2.52
3 Ir 0.0000 0.0000 0.0000  2 P 2.24
4 P 0.0000 0.0000 0.5000  2 Ir 2.24
5 Cd 0.5000 0.5000 0.5000  8 Cl 3.38, 4 P 3.57

Summary:
- N(E_F) (states/eV per atom) = 0.507
- calculated density (g/cm³) = 5.9

=====

b | CdPIrCl2 | GGA-PBE | optimized geometry

Lattice parameters (Å, degrees): 4.8693 4.8693 5.5262 90.00 90.00 90.00
Closest atoms and distances in Å follow each position.
Fractional positions:
1 Cl 0.0000 0.5000 0.0000  2 Cd 2.43
2 Cl 0.5000 0.0000 0.0000  2 Cd 2.43
3 Ir 0.5000 0.5000 0.5000  4 P 3.44, 8 Cl 3.68
4 P 0.0000 0.0000 0.5000  2 Cd 2.76
5 Cd 0.0000 0.0000 0.0000  4 Cl 2.43

Summary:
- N(E_F) (states/eV per atom) = 1.881
- calculated density (g/cm³) = 5.2

=====

Quick one: least stable of them? b

=====

a | K2CdCl | GGA-PBE | optimized geometry

Lattice parameters (Å, degrees): 3.8285 3.8282 9.9594 67.33 90.00 90.00
Closest atoms and distances in Å follow each position.
Fractional positions:
1 K 0.0000 0.0435 0.9559  4 Cl 3.30
2 K 0.0000 0.4565 0.5441  4 Cl 3.30
3 Cl 0.5000 0.7500 0.7500  8 K 3.30
4 Cd 0.5000 0.2500 0.2500  8 K 3.82-3.83, 4 Cd 3.83

Summary:
- N(E_F) (states/eV per atom) = 0.415
- calculated density (g/cm³) = 2.8

=====

b | K2CdCl | GGA-PBE | optimized geometry

Lattice parameters (Å, degrees): 8.9428 8.9428 7.7238 54.63 54.63 90.00
Closest atoms and distances in Å follow each position.
Fractional positions:
1 K 0.5639 0.1250 0.2500  2 Cl 3.01
2 K 0.1861 0.6250 0.2500  2 Cl 3.01
3 K 0.3750 0.4361 0.7500  2 Cl 3.01
4 K 0.8750 0.8139 0.7500  2 Cl 3.01
5 Cl 0.5000 0.5000 0.0000  4 K 3.01
6 Cl 0.2500 0.7500 0.5000  4 K 3.01
7 Cd 0.0000 0.0000 0.0000  4 K 3.74
8 Cd 0.7500 0.2500 0.5000  4 K 3.74

Summary:
- N(E_F) (states/eV per atom) = 0.767
- calculated density (g/cm³) = 2.1

=====

Quick one: least stable of them? b